VASP calculation (PBE) on Ba3Li2InAu6 after structural relaxation.

Cell and atoms, written as POSCAR:
```
Ba3Li2InAu6
1.0
-5.4012 2.9979 -2.7963
3.3934 -4.7599 -3.4362
-5.1414 -6.1076 3.3830
Ba Li In Au
3 2 1 6
Direct
0.3333 0.6667 0.6325
0.6667 0.3333 0.3675
0.0000 0.0000 0.0000
0.6667 0.3333 0.9459
0.3333 0.6667 0.0541
0.0000 0.0000 0.5000
0.6212 0.8106 0.2887
0.1894 0.3788 0.2887
0.1894 0.8106 0.2887
0.8106 0.6212 0.7113
0.3788 0.1894 0.7113
0.8106 0.1894 0.7113
```

Computed properties:
Formation energy, meV/atom: -497
Final energy, eV for the cell shown: -38.0
Magnetic moment, μB/cell: 0.00
Mass density, Mg/m³: 8.28

VASP calculation (PBE) on LiHf2VSi after structural relaxation.

Cell and atoms, written as POSCAR:
```
LiHf2VSi
1.0
-0.8312 2.1691 4.3749
-4.0893 -0.1348 -0.7101
-0.2289 -4.4503 2.1630
Si Li Hf V
1 1 2 1
Direct
0.0000 0.0000 0.0000
0.0000 0.5000 0.0000
0.0000 0.0000 0.5000
0.5000 0.0000 0.0000
0.5000 0.5000 0.5000
```

Computed properties:
Formation energy without anion corrections, eV/atom: 0.672
Final energy, eV for the cell shown: -33.0
Magnetic moment, μB/cell: 0.00
Mass density, Mg/m³: 7.22

VASP calculation (PBE) on Cs2GeSe2 after structural relaxation.

Cell and atoms, written as POSCAR:
```
Cs2GeSe2
1.0
7.9510 0.0000 0.0000
0.0000 7.9510 0.0000
0.0000 0.0000 5.6482
Cs Ge Se
4 2 4
Direct
0.1547 0.6547 0.5000
0.6547 0.8453 0.5000
0.8453 0.3453 0.5000
0.3453 0.1547 0.5000
0.0000 0.0000 0.0000
0.5000 0.5000 0.0000
0.3248 0.8248 0.0000
0.8248 0.6752 0.0000
0.6752 0.1752 0.0000
0.1752 0.3248 0.0000
```

Computed properties:
Formation energy without anion corrections, eV/atom: -0.440
Final energy, eV for the cell shown: -31.0
Energy relative to the lowest polymorph listed for this composition, eV/atom: 0.434
Magnetic moment, μB/cell: 0.14
Mass density, Mg/m³: 4.62

VASP calculation (PBE) on La2TcCl after structural relaxation.

Cell and atoms, written as POSCAR:
```
La2TcCl
1.0
-1.5392 -0.3040 -3.1495
1.6563 -3.0455 -0.5155
-4.8857 -6.5067 3.0158
Cl Tc La
1 1 2
Direct
0.5000 0.7500 0.7500
0.5000 0.2500 0.2500
0.0000 0.0305 0.0323
0.0000 0.4695 0.4677
```

Computed properties:
Formation energy without anion corrections, eV/atom: -0.744
Final energy, eV for the cell shown: -25.0
Energy relative to the lowest polymorph listed for this composition, eV/atom: 0.031
Magnetic moment, μB/cell: 0.00
Mass density, Mg/m³: 6.77

VASP calculation (PBE) on Ho2MnGe2 after structural relaxation.

Cell and atoms, written as POSCAR:
```
Ho2MnGe2
1.0
5.7924 0.0000 0.0000
0.0000 6.2618 0.0000
-2.8962 -3.1309 6.0845
Ho Mn Ge
4 2 4
Direct
0.8571 0.6540 0.7142
0.1429 0.3460 0.2858
0.6429 0.9397 0.2858
0.3571 0.0603 0.7142
0.7500 0.5000 0.0000
0.2500 0.5000 0.0000
0.3878 0.6170 0.7756
0.6122 0.3830 0.2244
0.1122 0.8414 0.2244
0.8878 0.1586 0.7756
```

Computed properties:
Formation energy, meV/atom: -550
Final energy, eV for the cell shown: -60.6
Magnetic moment, μB/cell: 5.20
Mass density, Mg/m³: 7.98

VASP calculation (PBE) on CrReGeIr after structural relaxation.

Cell and atoms, written as POSCAR:
```
CrReGeIr
1.0
4.3001 0.0000 0.0000
2.1500 3.7240 0.0000
2.1500 1.2413 3.5110
Re Ge Ir Cr
1 1 1 1
Direct
0.7500 0.7500 0.7500
0.5000 0.5000 0.5000
0.2500 0.2500 0.2500
0.0000 0.0000 0.0000
```

Computed properties:
Formation energy, meV/atom: -18
Final energy, eV for the cell shown: -35.6
Magnetic moment, μB/cell: 2.02
Mass density, Mg/m³: 14.86

VASP calculation (PBE) on ZrCo2HIr after structural relaxation.

Cell and atoms, written as POSCAR:
```
ZrCo2HIr
1.0
3.8705 0.0000 0.0000
0.0000 3.8705 0.0000
0.0000 0.0000 3.8586
H Ir Co Zr
1 1 2 1
Direct
0.0000 0.0000 0.0000
0.0000 0.0000 0.5000
0.0000 0.5000 0.0000
0.5000 0.0000 0.0000
0.5000 0.5000 0.5000
```

Computed properties:
Final energy, eV for the cell shown: -36.6
Energy relative to the lowest polymorph listed for this composition, eV/atom: 0.000
Magnetic moment, μB/cell: 0.00
Mass density, Mg/m³: 11.56

VASP calculation (PBE) on PRuPbO2 after structural relaxation.

Cell and atoms, written as POSCAR:
```
PRuPbO2
1.0
4.0462 0.0000 0.0000
0.0000 4.0462 0.0000
0.0000 0.0000 5.7382
Pb Ru O P
1 1 2 1
Direct
0.0000 0.0000 0.0000
0.5000 0.5000 0.5000
0.0000 0.5000 0.0000
0.5000 0.0000 0.0000
0.0000 0.0000 0.5000
```

Computed properties:
Formation energy without anion corrections, eV/atom: 0.758
Final energy, eV for the cell shown: -24.5
Energy relative to the lowest polymorph listed for this composition, eV/atom: 1.106
Magnetic moment, μB/cell: 3.50
Mass density, Mg/m³: 6.56

VASP calculation (PBE) on NdEuGe4 after structural relaxation.

Cell and atoms, written as POSCAR:
```
NdEuGe4
1.0
-3.0828 -2.4509 4.1851
-4.8724 -2.7715 -1.2665
-0.2396 -5.7268 0.4154
Eu Ge Nd
1 4 1
Direct
0.0000 0.0000 0.0000
0.6239 0.6239 0.1282
0.6239 0.1282 0.6239
0.6239 0.6239 0.6239
0.1282 0.6239 0.6239
0.2500 0.2500 0.2500
```

Computed properties:
Formation energy, meV/atom: -402
Final energy, eV for the cell shown: -35.9
Magnetic moment, μB/cell: 7.46
Mass density, Mg/m³: 7.26

VASP calculation (PBE) on Ga3CuTe4 after structural relaxation.

Cell and atoms, written as POSCAR:
```
Ga3CuTe4
1.0
6.3857 0.0000 0.0000
0.0000 6.3857 0.0000
-3.1929 -3.1929 6.2967
Ga Cu Te
3 1 4
Direct
0.5000 0.5000 0.0000
0.7500 0.2500 0.5000
0.2500 0.7500 0.5000
0.0000 0.0000 0.0000
0.3565 0.3565 0.2471
0.8906 0.8906 0.2471
0.1094 0.6435 0.7529
0.6435 0.1094 0.7529
```

Computed properties:
Formation energy without anion corrections, eV/atom: -0.158
Final energy, eV for the cell shown: -27.0
Magnetic moment, μB/cell: 0.00
Mass density, Mg/m³: 5.06

VASP calculation (PBE) on Ca2IrPt after structural relaxation.

Cell and atoms, written as POSCAR:
```
Ca2IrPt
1.0
-1.7534 -2.0880 2.2873
2.2722 -2.6534 -0.6803
4.7866 2.5592 6.0055
Ca Ir Pt
2 1 1
Direct
0.0000 0.0000 0.9145
0.5000 0.5000 0.3333
0.0000 0.0000 0.5727
0.5000 0.5000 0.6795
```

Computed properties:
Formation energy, meV/atom: -160
Final energy, eV for the cell shown: -19.5
Magnetic moment, μB/cell: 0.00
Mass density, Mg/m³: 7.57

VASP calculation (PBE) on BaSr2MgF after structural relaxation.

Cell and atoms, written as POSCAR:
```
BaSr2MgF
1.0
-3.7433 3.2227 2.2263
-0.5967 -3.5127 4.0816
4.2503 2.8269 3.0543
Sr Mg Ba F
2 1 1 1
Direct
0.0000 0.5000 0.0000
0.5000 0.0000 0.0000
0.5000 0.5000 0.5000
0.0000 0.0000 0.5000
0.0000 0.0000 0.0000
```

Computed properties:
Formation energy without anion corrections, eV/atom: -1.036
Final energy, eV for the cell shown: -13.9
Magnetic moment, μB/cell: 0.00
Mass density, Mg/m³: 3.38

VASP calculation (PBE) on Ti5Co4Os after structural relaxation.

Cell and atoms, written as POSCAR:
```
Ti5Co4Os
1.0
3.0222 0.0000 0.0000
0.0000 3.0222 0.0000
0.0000 0.0000 14.8876
Ti Co Os
5 4 1
Direct
0.5000 0.5000 0.1051
0.5000 0.5000 0.3028
0.5000 0.5000 0.5000
0.5000 0.5000 0.6972
0.5000 0.5000 0.8949
0.0000 0.0000 0.2039
0.0000 0.0000 0.4010
0.0000 0.0000 0.5990
0.0000 0.0000 0.7961
0.0000 0.0000 0.0000
```

Computed properties:
Formation energy, meV/atom: -441
Final energy, eV for the cell shown: -83.5
Magnetic moment, μB/cell: 3.17
Mass density, Mg/m³: 8.12

VASP calculation (PBE) on Li5Ag4 after structural relaxation.

Cell and atoms, written as POSCAR:
```
Li5Ag4
1.0
7.8650 0.0000 0.0000
-3.9325 6.8113 0.0000
0.0000 0.0000 5.5919
Ag Li
8 10
Direct
0.0000 0.0000 0.0000
0.0000 0.0000 0.5000
0.0000 0.3602 0.2500
0.6398 0.6398 0.2500
0.3602 0.0000 0.2500
0.0000 0.6398 0.7500
0.3602 0.3602 0.7500
0.6398 0.0000 0.7500
0.0000 0.6942 0.2500
0.3058 0.3058 0.2500
0.6942 0.0000 0.2500
0.0000 0.3058 0.7500
0.6942 0.6942 0.7500
0.3058 0.0000 0.7500
0.6667 0.3333 0.0000
0.3333 0.6667 0.5000
0.3333 0.6667 0.0000
0.6667 0.3333 0.5000
```

Computed properties:
Formation energy, meV/atom: -155
Final energy, eV for the cell shown: -44.7
Energy relative to the lowest polymorph listed for this composition, eV/atom: 0.027
Magnetic moment, μB/cell: 0.00
Mass density, Mg/m³: 5.17

VASP calculation (PBE) on LiBePd2 after structural relaxation.

Cell and atoms, written as POSCAR:
```
LiBePd2
1.0
-2.0492 2.3091 -5.6523
-6.1057 -0.8033 1.8854
-4.0894 3.2148 -0.8733
Be Pd Li
2 4 2
Direct
0.0000 0.0000 0.0000
0.7500 0.2500 0.5000
0.6720 0.1250 0.2500
0.0780 0.6250 0.2500
0.3750 0.3280 0.7500
0.8750 0.9220 0.7500
0.5000 0.5000 0.0000
0.2500 0.7500 0.5000
```

Computed properties:
Formation energy, meV/atom: -265
Final energy, eV for the cell shown: -34.2
Magnetic moment, μB/cell: 0.00
Mass density, Mg/m³: 6.88

VASP calculation (PBE) on La6Co3Sn after structural relaxation.

Cell and atoms, written as POSCAR:
```
La6Co3Sn
1.0
-3.8716 -0.0495 1.1013
1.7443 -11.2259 5.6270
2.2200 8.0015 8.1639
La Co Sn
12 6 2
Direct
0.2500 0.3871 0.5127
0.7500 0.6129 0.4873
0.2500 0.9126 0.0848
0.7500 0.0874 0.9152
0.2500 0.9451 0.6060
0.7500 0.0549 0.3940
0.2500 0.7431 0.2997
0.7500 0.2569 0.7003
0.2500 0.5319 0.8397
0.7500 0.4681 0.1603
0.2500 0.2156 0.2076
0.7500 0.7844 0.7924
0.2500 0.1638 0.5287
0.7500 0.8362 0.4713
0.2500 0.5157 0.3314
0.7500 0.4843 0.6686
0.2500 0.9234 0.8458
0.7500 0.0766 0.1542
0.2500 0.3101 0.9507
0.7500 0.6899 0.0493
```

Computed properties:
Formation energy, meV/atom: -215
Final energy, eV for the cell shown: -114.1
Magnetic moment, μB/cell: 0.00
Mass density, Mg/m³: 6.55

VASP calculation (PBE) on Ce2Pm3DyTm6 after structural relaxation.

Cell and atoms, written as POSCAR:
```
Ce2Pm3DyTm6
1.0
-5.8148 0.8671 -1.7423
3.1871 -4.7469 -2.2154
-2.7107 -5.1939 10.0560
Ce Pm Dy Tm
2 3 1 6
Direct
0.3336 0.6664 0.0000
0.6664 0.3336 0.0000
0.1660 0.8340 0.5000
0.8340 0.1660 0.5000
0.5000 0.5000 0.5000
0.0000 0.0000 0.0000
0.9173 0.5820 0.7534
0.7473 0.7473 0.2467
0.0827 0.4180 0.2466
0.5820 0.9173 0.7534
0.2527 0.2527 0.7533
0.4180 0.0827 0.2466
```

Computed properties:
Formation energy, meV/atom: 44
Final energy, eV for the cell shown: -57.0
Magnetic moment, μB/cell: 1.84
Mass density, Mg/m³: 8.42

VASP calculation (PBE) on Sc2In2Si after structural relaxation.

Cell and atoms, written as POSCAR:
```
Sc2In2Si
1.0
-5.9141 0.8901 -3.7832
-1.4583 -6.8937 0.6577
-2.2540 0.8317 3.7192
Sc Si In
4 2 4
Direct
0.1671 0.6671 0.5000
0.6671 0.8329 0.5000
0.8329 0.3329 0.5000
0.3329 0.1671 0.5000
0.0000 0.0000 0.0000
0.5000 0.5000 0.0000
0.3603 0.8603 0.0000
0.8603 0.6397 0.0000
0.6397 0.1397 0.0000
0.1397 0.3603 0.0000
```

Computed properties:
Formation energy without anion corrections, eV/atom: -0.175
Final energy, eV for the cell shown: -48.9
Energy relative to the lowest polymorph listed for this composition, eV/atom: 0.088
Magnetic moment, μB/cell: 0.00
Mass density, Mg/m³: 5.21

VASP calculation (PBE) on LaCrMo2 after structural relaxation.

Cell and atoms, written as POSCAR:
```
LaCrMo2
1.0
5.6956 -0.0008 0.0000
-3.3129 4.6330 0.0000
0.0000 0.0000 2.7335
Cr La Mo
1 1 2
Direct
0.5000 0.0000 0.5000
0.0000 0.5000 0.5000
0.0000 0.0000 0.0000
0.5000 0.5000 0.0000
```

Computed properties:
Formation energy, meV/atom: 855
Final energy, eV for the cell shown: -32.8
Energy relative to the lowest polymorph listed for this composition, eV/atom: 0.441
Magnetic moment, μB/cell: 0.32
Mass density, Mg/m³: 8.81

VASP calculation (PBE) on Rb2GaI after structural relaxation.

Cell and atoms, written as POSCAR:
```
Rb2GaI
1.0
0.0000 4.5006 4.5006
4.5006 0.0000 4.5006
4.5006 4.5006 0.0000
I Ga Rb
1 1 2
Direct
0.5000 0.5000 0.5000
0.0000 0.0000 0.0000
0.2500 0.2500 0.2500
0.7500 0.7500 0.7500
```

Computed properties:
Formation energy without anion corrections, eV/atom: -0.338
Final energy, eV for the cell shown: -7.9
Magnetic moment, μB/cell: 2.00
Mass density, Mg/m³: 3.35

VASP calculation (PBE) on HoMgGaIr after structural relaxation.

Cell and atoms, written as POSCAR:
```
HoMgGaIr
1.0
-4.6043 0.8150 0.7766
-2.4482 -2.8247 2.9144
-1.4420 1.6210 4.2142
Mg Ir Ho Ga
1 1 1 1
Direct
0.0000 0.0000 0.0000
0.7500 0.7500 0.7500
0.5000 0.5000 0.5000
0.2500 0.2500 0.2500
```

Computed properties:
Formation energy, meV/atom: -499
Final energy, eV for the cell shown: -20.1
Magnetic moment, μB/cell: 0.00
Mass density, Mg/m³: 9.95

VASP calculation (PBE) on Rb2GaPbN after structural relaxation.

Cell and atoms, written as POSCAR:
```
Rb2GaPbN
1.0
6.7840 0.0000 0.0000
0.0000 3.6651 0.0000
0.0000 0.0000 6.7840
Pb Ga Rb N
1 1 2 1
Direct
0.5000 0.5000 0.5000
0.0000 0.5000 0.0000
0.0000 0.0000 0.5000
0.5000 0.0000 0.0000
0.0000 0.0000 0.0000
```

Computed properties:
Formation energy without anion corrections, eV/atom: 0.216
Final energy, eV for the cell shown: -15.9
Magnetic moment, μB/cell: 1.41
Mass density, Mg/m³: 4.55

VASP calculation (PBE) on Pm2DyNpO8 after structural relaxation.

Cell and atoms, written as POSCAR:
```
Pm2DyNpO8
1.0
3.9117 -0.1833 -0.0017
-0.1542 5.5074 -0.0065
0.0039 0.0079 7.5412
Pm Dy Np O
2 1 1 8
Direct
0.5000 0.4999 0.7416
0.5000 0.5001 0.2584
0.0000 0.0000 0.5000
0.0000 0.0000 0.0000
0.0312 0.7697 0.2215
0.5508 0.7817 0.0000
0.9687 0.2302 0.2214
0.9688 0.2303 0.7785
0.4492 0.2183 0.0000
0.0313 0.7698 0.7786
0.5041 0.7532 0.5001
0.4959 0.2468 0.4999
```

Computed properties:
Formation energy without anion corrections, eV/atom: -3.150
Final energy, eV for the cell shown: -104.5
Magnetic moment, μB/cell: 0.00
Mass density, Mg/m³: 8.37

VASP calculation (PBE) on Mn5Al8 after structural relaxation.

Cell and atoms, written as POSCAR:
```
Mn5Al8
1.0
7.7078 0.0000 0.0001
-2.5704 7.2666 0.0001
-2.5705 -3.6360 6.2915
Al Mn
16 10
Direct
0.3107 0.3103 0.3108
0.3581 0.9995 0.3582
0.9999 0.3576 0.3582
0.3581 0.3576 0.0000
0.6643 0.4464 0.6643
0.4468 0.6638 0.6644
0.6643 0.6638 0.4469
0.2627 0.6172 0.2628
0.6176 0.2623 0.2628
0.2627 0.2623 0.6177
0.7183 0.9503 0.3250
0.9508 0.3245 0.7184
0.3249 0.7179 0.9509
0.3249 0.9504 0.7184
0.7183 0.3245 0.9509
0.9508 0.7179 0.3250
0.8490 0.8486 0.8491
0.9989 0.2100 0.9990
0.2105 0.9985 0.9990
0.9989 0.9985 0.2105
0.0114 0.6708 0.0115
0.6713 0.0110 0.0115
0.0114 0.0110 0.6713
0.6302 0.9756 0.6302
0.9760 0.6297 0.6302
0.6302 0.6297 0.9761
```

Computed properties:
Formation energy, meV/atom: -194
Final energy, eV for the cell shown: -156.6
Energy relative to the lowest polymorph listed for this composition, eV/atom: 0.029
Magnetic moment, μB/cell: 2.94
Mass density, Mg/m³: 4.62